Compound: BiPd12Au6
Source: Alexandria via LeMat-Bulk
Functional: PBE-GGA
Structure: relaxed

## Properties
ρ, g cm⁻³: 12.6
Energy of formation from the pure elements, eV/atom: 0.115

Cell lengths 12.0711, 12.0711, 8.3357 Å; angles 90.00, 90.00, 120.00 degrees
Space group R-3m (No. 166, hexagonal axes)
Inequivalent atoms, fractional coordinates:
Bi: 0.0000 0.0000 0.0000 [3 per cell]
Pd: 0.0000 0.3867 0.5000 [18 per cell]
Pd: 0.0803 0.1606 0.2500 [18 per cell]
Au: 0.0763 0.5381 0.2281 [18 per cell]

Compound: BiPd5Au2
Source: Alexandria via LeMat-Bulk
Functional: PBE-GGA
Structure: relaxed

## Properties
ρ, g cm⁻³: 13.8
ΔE to the lowest computed polymorph, meV per atom: 0.0
Energy of formation from the pure elements, eV/atom: -0.185

Cell lengths 4.174, 4.174, 15.716 Å; angles 90.00, 90.00, 90.00 degrees
Space group I4/mmm (No. 139)
Inequivalent atoms, fractional coordinates:
Bi: 0.000 0.000 0.000 [2 per cell]
Pd: 0.000 0.000 0.500 [2 per cell]
Pd: 0.000 0.500 0.126 [8 per cell]
Au: 0.000 0.000 0.251 [4 per cell]